(1)
A plane-wave DFT calculation with meta-GGA SCAN was carried out for a crystal of Ca3YIn relaxed with PBEsol.

Calculated density   2.83 g/cm3
ΔH_f (0 K)   0.88 eV/atom

abc: 5.7511 5.7511 5.7511
angles: 90.00 90.00 90.00
Fractional coordinates of all 5 atoms:
1 Y 0.0000 0.0000 0.0000
2 Ca 0.0000 0.0000 0.5000
3 Ca 0.5000 0.0000 0.0000
4 Ca 0.0000 0.5000 0.0000
5 In 0.5000 0.5000 0.5000



(2)
A plane-wave DFT calculation with meta-GGA SCAN was carried out for a crystal of Ca2YIn relaxed with PBEsol.

Calculated density   4.02 g/cm3
ΔH_f (0 K)   -0.22 eV/atom

abc: 5.4901 5.4987 5.4901
angles: 60.05 90.00 119.95
Fractional coordinates of all 4 atoms:
1 Ca 0.0000 0.0000 0.0000
2 Ca 0.2500 0.5000 0.2500
3 Y 0.7500 0.5000 0.7500
4 In 0.5000 0.0000 0.5000



(3)
A plane-wave DFT calculation with meta-GGA SCAN was carried out for a crystal of Ca2YIn relaxed with PBEsol.

Calculated density   4.01 g/cm3
ΔH_f (0 K)   -0.31 eV/atom

abc: 4.7811 4.7811 5.1466
angles: 90.00 90.00 90.00
Fractional coordinates of all 4 atoms:
1 Ca 0.5000 0.0000 0.0000
2 Ca 0.0000 0.5000 0.0000
3 In 0.5000 0.5000 0.5000
4 Y 0.0000 0.0000 0.5000



(4)
A plane-wave DFT calculation with meta-GGA SCAN was carried out for a crystal of Ca2YIn relaxed with PBEsol.

Calculated density   3.66 g/cm3
ΔH_f (0 K)   -0.30 eV/atom

abc: 3.6636 3.6636 9.5906
angles: 90.00 90.00 90.00
Fractional coordinates of all 4 atoms:
1 In 0.0000 0.0000 0.5091
2 Y 0.5000 0.5000 0.7035
3 Ca 0.5000 0.5000 0.3001
4 Ca 0.0000 0.0000 0.9873



(5)
A plane-wave DFT calculation with meta-GGA SCAN was carried out for a crystal of CaYIn relaxed with PBEsol.

Calculated density   4.43 g/cm3
Polymorph energy (0 for the lowest one)   326 meV per atom
ΔH_f (0 K)   -0.21 eV/atom

abc: 3.6121 3.6121 8.0949
angles: 90.00 90.00 120.00
Fractional coordinates of all 3 atoms:
1 Y 0.3333 0.6667 0.3637
2 In 0.6667 0.3333 0.6631
3 Ca 0.0000 0.0000 0.9731



(6)
A plane-wave DFT calculation with meta-GGA SCAN was carried out for a crystal of CaYIn relaxed with PBEsol.

Calculated density   4.84 g/cm3
Polymorph energy (0 for the lowest one)   0 meV per atom
ΔH_f (0 K)   -0.54 eV/atom

abc: 5.3452 5.3452 6.7668
angles: 90.00 90.00 120.00
Fractional coordinates of all 6 atoms:
1 In 0.6667 0.3333 0.7500
2 In 0.3333 0.6667 0.2500
3 Ca 0.0000 0.0000 0.0000
4 Ca 0.0000 0.0000 0.5000
5 Y 0.6667 0.3333 0.2500
6 Y 0.3333 0.6667 0.7500



(7)
A plane-wave DFT calculation with meta-GGA SCAN was carried out for a crystal of Ca2ZrZnIn relaxed with PBEsol.

Calculated density   4.01 g/cm3
ΔH_f (0 K)   0.17 eV/atom

abc: 5.0756 5.3550 5.3550
angles: 90.00 90.00 90.00
Fractional coordinates of all 5 atoms:
1 Zn 0.0000 0.0000 0.0000
2 In 0.5000 0.5000 0.5000
3 Zr 0.5000 0.0000 0.0000
4 Ca 0.0000 0.5000 0.0000
5 Ca 0.0000 0.0000 0.5000



(8)
A plane-wave DFT calculation with meta-GGA SCAN was carried out for a crystal of CaZrIn relaxed with PBEsol.

Calculated density   5.34 g/cm3
Polymorph energy (0 for the lowest one)   0 meV per atom
ΔH_f (0 K)   -0.08 eV/atom

abc: 3.1569 4.2700 6.2681
angles: 109.91 104.59 90.00
Fractional coordinates of all 3 atoms:
1 In 0.3194 0.3194 0.6387
2 Ca 0.9892 0.9892 0.9783
3 Zr 0.6915 0.6915 0.3830



(9)
A plane-wave DFT calculation with meta-GGA SCAN was carried out for a crystal of CaZrIn relaxed with PBEsol.

Calculated density   4.69 g/cm3
Polymorph energy (0 for the lowest one)   571 meV per atom
ΔH_f (0 K)   0.49 eV/atom

abc: 4.9777 4.9777 4.9777
angles: 60.00 60.00 60.00
Fractional coordinates of all 3 atoms:
1 Ca 0.0000 0.0000 0.0000
2 In 0.5000 0.5000 0.5000
3 Zr 0.2500 0.2500 0.2500



(10)
A plane-wave DFT calculation with meta-GGA SCAN was carried out for a crystal of Ca3ZrIn relaxed with PBEsol.

Calculated density   3.16 g/cm3
ΔH_f (0 K)   0.85 eV/atom

abc: 5.5557 5.5557 5.5557
angles: 90.00 90.00 90.00
Fractional coordinates of all 5 atoms:
1 Ca 0.0000 0.0000 0.5000
2 Ca 0.0000 0.5000 0.0000
3 Ca 0.5000 0.0000 0.0000
4 In 0.5000 0.5000 0.5000
5 Zr 0.0000 0.0000 0.0000



(11)
A plane-wave DFT calculation with meta-GGA SCAN was carried out for a crystal of Ca5Ir relaxed with PBEsol.

Calculated density   3.36 g/cm3
ΔH_f (0 K)   -0.26 eV/atom

abc: 6.6742 7.5399 15.4416
angles: 90.00 90.00 90.00
Fractional coordinates of all 24 atoms:
1 Ca 0.6751 0.0347 0.3554
2 Ca 0.8249 0.5347 0.1446
3 Ca 0.3249 0.9653 0.8554
4 Ca 0.1413 0.1919 0.0669
5 Ca 0.3500 0.4043 0.2500
6 Ca 0.8249 0.5347 0.3554
7 Ca 0.1751 0.4653 0.8554
8 Ca 0.6751 0.0347 0.1446
9 Ca 0.6413 0.3081 0.9331
10 Ca 0.6500 0.5957 0.7500
11 Ca 0.8587 0.8081 0.5669
12 Ca 0.3249 0.9653 0.6446
13 Ca 0.3587 0.6919 0.0669
14 Ca 0.8587 0.8081 0.9331
15 Ca 0.8500 0.0957 0.7500
16 Ca 0.6413 0.3081 0.5669
17 Ca 0.1751 0.4653 0.6446
18 Ca 0.1500 0.9043 0.2500
19 Ca 0.1413 0.1919 0.4331
20 Ca 0.3587 0.6919 0.4331
21 Ir 0.5360 0.7395 0.2500
22 Ir 0.0360 0.7605 0.7500
23 Ir 0.4640 0.2605 0.7500
24 Ir 0.9640 0.2395 0.2500



(12)
A plane-wave DFT calculation with meta-GGA SCAN was carried out for a crystal of Ca3Ir relaxed with PBEsol.

Calculated density   3.89 g/cm3
ΔH_f (0 K)   -0.01 eV/atom

abc: 4.0675 4.0675 9.5901
angles: 77.76 77.76 60.00
Fractional coordinates of all 4 atoms:
1 Ca 0.5000 0.5000 0.5000
2 Ca 0.7181 0.7181 0.8457
3 Ca 0.2819 0.2819 0.1543
4 Ir 0.0000 0.0000 0.0000



> Which value of ΔH_f (0 K) does entry 2 give?

-0.22 eV/atom